Here is a relaxed structure of Ac2AgPd6 from the Alexandria database. Energies are from GGA-PBE.

The structure belongs to space group P-3m1 (No. 164); the cell edges are 5.9121, 5.9121 and 6.2167 Å and the angles 90.00°, 90.00° and 120.00°. The asymmetric unit holds Ac at (0.3333, 0.6667, 0.1864), Ag at (0.0000, 0.0000, 0.0000) and Pd at (0.1755, 0.3510, 0.6729).

For the formation energy from the elements, the calculation gives -612 meV/atom. For the calculated total energy, the calculation gives -47.7 eV for the cell shown. The calculation puts the distance to the lowest polymorph of the same formula at 0 meV per atom.